# 1
Computed, not measured: a relaxed structure of Sr2PmI at the PBE level of DFT.

Values from the calculation:
Density, Mg/m³: 4.5
Energy relative to the lowest polymorph listed for this composition, meV/atom: 0

Lattice parameters (Å, degrees): 3.9526 3.9526 10.5861 90.00 90.00 90.00
Closest atoms and distances in Å follow each position.
Space group P4/mmm (No. 123)
Asymmetric unit:
Sr  0.0000  0.0000  0.2334 x2  4 I 3.73, 4 Sr 3.95, 4 Pm 3.97
Pm  0.5000  0.5000  0.5000 x1  4 Pm 3.95, 8 Sr 3.97
I  0.5000  0.5000  0.0000 x1  8 Sr 3.73, 4 I 3.95

=====

# 2
Computed, not measured: a relaxed structure of YPuF4 at the PBE level of DFT.

Values from the calculation:
Uncorrected energy, eV/f.u.: -47.56
Density, Mg/m³: 6.0

Lattice parameters (Å, degrees): 7.7194 7.7194 7.6038 90.00 90.00 90.00
Closest atoms and distances in Å follow each position.
Space group I4_1md (No. 109)
Asymmetric unit:
Y  0.0000  0.0000  0.0000 x4  6 F 2.23
Pu  0.0000  0.0000  0.4740 x4  6 F 2.47-2.70
F  0.0000  0.1841  0.7732 x8  1 Y 2.23, 1 Pu 2.47
F  0.0000  0.2162  0.1953 x8  2 Y 2.23

=====

# 3
Computed, not measured: a relaxed structure of HAuI at the PBE level of DFT.

Values from the calculation:
Density, Mg/m³: 6.7
Energy relative to the lowest polymorph listed for this composition, meV/atom: 35

Lattice parameters (Å, degrees): 4.4840 4.4880 9.1624 86.94 86.84 60.83
Closest atoms and distances in Å follow each position.
Space group P1 (No. 1)
Asymmetric unit:
H  0.0000  0.0000  0.0000 x1  1 H 0.75
H  0.0777  0.0740  0.9442 x1  1 H 0.75
Au  0.1873  0.2498  0.4019 x1  2 I 2.69-2.82, 2 Au 2.79
Au  0.8024  0.8656  0.5432 x1  2 I 2.69-2.83, 2 Au 2.79
I  0.3901  0.4162  0.7000 x1  2 Au 2.69-2.83
I  0.6434  0.6688  0.2439 x1  2 Au 2.69-2.82

=====

# 4
Computed, not measured: a relaxed structure of AlSnTeO6 at the PBE level of DFT.

Values from the calculation:
Uncorrected energy, eV/f.u.: -55.28
Density, Mg/m³: 5.9

Lattice parameters (Å, degrees): 5.1337 5.1337 9.1092 90.00 90.00 120.00
Closest atoms and distances in Å follow each position.
Space group P-31c (No. 163)
Asymmetric unit:
Al  0.3333  0.6667  0.2500 x2  6 O 1.93
Sn  0.0000  0.0000  0.0000 x2  6 O 2.15
Te  0.3333  0.6667  0.7500 x2  6 O 2.05
O  0.0172  0.3551  0.1325 x12  1 Al 1.93, 1 Te 2.05, 1 Sn 2.15